The following is a GGA-PBE calculation of a geometry-optimized CeZnSiH structure, from Alexandria via LeMat-Bulk.

Lattice parameters (Å, degrees): 4.162 4.162 4.227 90.00 90.00 120.00
Atoms (fractional coordinates):
Ce (0.000, 0.000, 0.000)
Zn (0.333, 0.667, 0.498)
Si (0.667, 0.333, 0.502)
H (0.333, 0.667, 0.004)

Properties
The electronic total energy comes out at -4.54 eV/atom. As for the space group: No. 156. Its magnetic moment is 0.94 μB/f.u.